(1)
A relaxed structure of YIn2Hg, computed with PBE.

## Properties
Energy ... -13.20 eV for the cell shown
SG ... F-43m (216)

Cell: 5.223 5.223 5.223 Å, 60.00 60.00 60.00°
Positions (direct):
Y (0.500, 0.500, 0.500)
In (0.000, 0.000, 0.000)
In (0.750, 0.750, 0.750)
Hg (0.250, 0.250, 0.250)

---

(2)
A relaxed structure of YInHg, computed with PBE.

## Properties
Energy ... -21.84 eV for the cell shown
SG ... P-6m2 (187)

Cell: 4.827 4.827 7.465 Å, 90.00 90.00 120.00°
Positions (direct):
Y (0.667, 0.333, 0.500)
Y (0.667, 0.333, 0.000)
In (0.333, 0.667, 0.711)
In (0.333, 0.667, 0.289)
Hg (0.000, 0.000, 0.795)
Hg (0.000, 0.000, 0.205)

---

(3)
A relaxed structure of YIn2Hg, computed with PBE.

## Properties
Energy ... -13.20 eV for the cell shown
SG ... F-43m (216)

Cell: 5.223 5.223 5.223 Å, 60.00 60.00 60.00°
Positions (direct):
Hg (0.500, 0.500, 0.500)
In (0.750, 0.750, 0.750)
In (0.000, 0.000, 0.000)
Y (0.250, 0.250, 0.250)

---

(4)
A relaxed structure of ZnIn2Hg, computed with PBE.

## Properties
Energy ... -6.57 eV for the cell shown
SG ... F-43m (216)

Cell: 5.196 5.196 5.196 Å, 60.00 60.00 60.00°
Positions (direct):
In (0.000, 0.000, 0.000)
In (0.250, 0.250, 0.250)
Hg (0.500, 0.500, 0.500)
Zn (0.750, 0.750, 0.750)

---

(5)
A relaxed structure of Zr3InHg2, computed with PBE.

## Properties
Energy ... -30.36 eV for the cell shown
SG ... P4/mmm (123)

Cell: 3.178 3.178 12.848 Å, 90.00 90.00 90.00°
Positions (direct):
Hg (0.000, 0.000, 0.165)
Hg (0.000, 0.000, 0.835)
Zr (0.500, 0.500, 0.331)
Zr (0.500, 0.500, 0.000)
Zr (0.500, 0.500, 0.669)
In (0.000, 0.000, 0.500)

---

(6)
A relaxed structure of Zr2InHg, computed with PBE.

## Properties
Energy ... -19.23 eV for the cell shown
SG ... F-43m (216)

Cell: 5.090 5.090 5.090 Å, 60.00 60.00 60.00°
Positions (direct):
Zr (0.000, 0.000, 0.000)
Zr (0.750, 0.750, 0.750)
Hg (0.250, 0.250, 0.250)
In (0.500, 0.500, 0.500)

---

(7)
A relaxed structure of Zr3In2Hg2, computed with PBE.

## Properties
Energy ... -32.00 eV for the cell shown
SG ... R3m (160)

Cell: 8.539 8.539 8.539 Å, 33.34 33.34 33.34°
Positions (direct):
Hg (0.010, 0.010, 0.010)
Hg (0.493, 0.493, 0.493)
Zr (0.877, 0.877, 0.877)
Zr (0.625, 0.625, 0.625)
Zr (0.372, 0.372, 0.372)
In (0.244, 0.244, 0.244)
In (0.755, 0.755, 0.755)

---

(8)
A relaxed structure of Zr6InHg, computed with PBE.

## Properties
Energy ... -56.02 eV for the cell shown
SG ... Pm-3 (200)

Cell: 5.615 5.616 5.617 Å, 89.99 89.99 90.00°
Positions (direct):
Zr (0.500, 0.751, 0.000)
Zr (0.000, 0.500, 0.249)
Zr (0.000, 0.500, 0.751)
Zr (0.751, 0.999, 0.500)
Zr (0.249, 0.001, 0.500)
Zr (0.500, 0.249, 0.000)
In (0.500, 0.500, 0.500)
Hg (0.000, 0.000, 0.000)

---

(9)
A relaxed structure of HgIr7, computed with PBE.

## Properties
Energy ... -122.33 eV for the cell shown
SG ... Pmmn (59)
Relative energy among the computed polymorphs ... 22 meV/atom
Formation energy from the elements ... 1.114 eV per formula unit

Cell: 2.746 3.859 35.527 Å, 90.00 90.00 90.00°
Positions (direct):
Ir (0.000, 0.000, 0.019)
Ir (0.000, 0.000, 0.173)
Ir (0.500, 0.500, 0.212)
Ir (0.500, 0.500, 0.058)
Ir (0.500, 0.500, 0.751)
Ir (0.000, 0.000, 0.249)
Ir (0.500, 0.500, 0.981)
Ir (0.000, 0.000, 0.788)
Ir (0.000, 0.000, 0.866)
Ir (0.000, 0.000, 0.096)
Ir (0.500, 0.500, 0.134)
Ir (0.500, 0.500, 0.827)
Ir (0.500, 0.500, 0.904)
Ir (0.000, 0.000, 0.942)
Hg (0.500, 0.500, 0.299)
Hg (0.000, 0.000, 0.701)

---

(10)
A relaxed structure of HgIr8, computed with PBE.

## Properties
Energy ... -138.16 eV for the cell shown
SG ... C2/m (12)
Formation energy from the elements ... 2.055 eV per formula unit

Cell: 4.724 4.724 29.755 Å, 90.08 90.08 48.15°
Positions (direct):
Ir (0.253, 0.253, 0.284)
Ir (0.550, 0.550, 0.312)
Ir (0.147, 0.147, 0.369)
Ir (0.252, 0.252, 0.573)
Ir (0.152, 0.152, 0.661)
Ir (0.853, 0.853, 0.631)
Ir (0.350, 0.350, 0.486)
Ir (0.748, 0.748, 0.427)
Ir (0.747, 0.747, 0.716)
Ir (0.450, 0.450, 0.688)
Ir (0.951, 0.951, 0.544)
Ir (0.447, 0.447, 0.398)
Ir (0.848, 0.848, 0.339)
Ir (0.553, 0.553, 0.602)
Ir (0.049, 0.049, 0.456)
Ir (0.650, 0.650, 0.514)
Hg (0.048, 0.048, 0.759)
Hg (0.952, 0.952, 0.241)

---

(11)
A relaxed structure of HgIr, computed with PBE.

## Properties
Energy ... -6.92 eV for the cell shown
SG ... Fm-3m (225)
Formation energy from the elements ... 2.237 eV per formula unit

Cell: 3.827 3.827 3.827 Å, 60.00 60.00 60.00°
Positions (direct):
Ir (0.500, 0.500, 0.500)
Hg (0.000, 0.000, 0.000)

---

(12)
A relaxed structure of HgIr10, computed with PBE.

## Properties
Energy ... -173.59 eV for the cell shown
SG ... C2/m (12)
Formation energy from the elements ... 2.052 eV per formula unit

Cell: 4.721 4.721 32.627 Å, 90.04 90.04 48.16°
Positions (direct):
Ir (0.048, 0.048, 0.173)
Ir (0.352, 0.352, 0.880)
Ir (0.952, 0.952, 0.827)
Ir (0.748, 0.748, 0.200)
Ir (0.347, 0.347, 0.146)
Ir (0.653, 0.653, 0.854)
Ir (0.250, 0.250, 0.066)
Ir (0.550, 0.550, 0.040)
Ir (0.153, 0.153, 0.251)
Ir (0.051, 0.051, 0.907)
Ir (0.450, 0.450, 0.225)
Ir (0.847, 0.847, 0.749)
Ir (0.252, 0.252, 0.800)
Ir (0.949, 0.949, 0.093)
Ir (0.550, 0.550, 0.775)
Ir (0.450, 0.450, 0.960)
Ir (0.850, 0.850, 0.013)
Ir (0.648, 0.648, 0.120)
Ir (0.750, 0.750, 0.934)
Ir (0.150, 0.150, 0.987)
Hg (0.855, 0.855, 0.290)
Hg (0.145, 0.145, 0.710)

---

(13)
A relaxed structure of HgIr7, computed with PBE.

## Properties
Energy ... -122.69 eV for the cell shown
SG ... P4/nmm (129)
Relative energy among the computed polymorphs ... 0 meV/atom
Formation energy from the elements ... 0.936 eV per formula unit

Cell: 2.753 2.753 43.961 Å, 90.00 90.00 90.00°
Positions (direct):
Hg (0.500, 0.000, 0.838)
Hg (0.000, 0.500, 0.162)
Ir (0.000, 0.500, 0.784)
Ir (0.000, 0.500, 0.698)
Ir (0.000, 0.500, 0.434)
Ir (0.000, 0.500, 0.522)
Ir (0.500, 0.000, 0.302)
Ir (0.000, 0.500, 0.610)
Ir (0.000, 0.500, 0.258)
Ir (0.000, 0.500, 0.347)
Ir (0.500, 0.000, 0.390)
Ir (0.500, 0.000, 0.216)
Ir (0.500, 0.000, 0.478)
Ir (0.500, 0.000, 0.653)
Ir (0.500, 0.000, 0.566)
Ir (0.500, 0.000, 0.742)

---

(14)
A relaxed structure of HgIr, computed with PBE.

## Properties
Energy ... -8.05 eV for the cell shown
SG ... P-6m2 (187)
Formation energy from the elements ... 1.100 eV per formula unit

Cell: 2.919 2.919 4.707 Å, 90.00 90.00 120.00°
Positions (direct):
Hg (0.667, 0.333, 0.750)
Ir (0.333, 0.667, 0.250)

---

(15)
A relaxed structure of HgIr124, computed with PBE.

## Properties
Energy ... -1097.08 eV for the cell shown
SG ... Fm-3m (225)
Formation energy from the elements ... 1.228 eV per formula unit

Cell: 13.710 13.710 13.710 Å, 60.00 60.00 60.00°
Positions (direct):
Ir (0.000, 0.401, 0.599)
Ir (0.000, 0.800, 0.800)
Ir (0.800, 0.600, 0.400)
Ir (0.800, 0.800, 0.800)
Ir (0.000, 0.400, 0.400)
Ir (0.800, 0.600, 0.000)
Ir (0.600, 0.800, 0.200)
Ir (0.795, 0.000, 0.000)
Ir (0.200, 0.600, 0.800)
Ir (0.600, 0.600, 0.400)
Ir (0.200, 0.200, 0.000)
Ir (0.800, 0.400, 0.400)
Ir (0.205, 0.000, 0.000)
Ir (0.599, 0.000, 0.000)
Ir (0.800, 0.600, 0.800)
Ir (0.800, 0.400, 0.200)
Ir (0.600, 0.400, 0.400)
Ir (0.200, 0.800, 0.600)
Ir (0.400, 0.400, 0.200)
Ir (0.000, 0.000, 0.205)
Ir (0.800, 0.000, 0.800)
Ir (0.600, 0.800, 0.600)
Ir (0.800, 0.200, 0.400)
Ir (0.800, 0.200, 0.800)
Ir (0.200, 0.200, 0.200)
Ir (0.401, 0.599, 0.000)
Ir (0.400, 0.600, 0.600)
Ir (0.200, 0.600, 0.000)
Ir (0.400, 0.400, 0.600)
Ir (0.800, 0.600, 0.600)
Ir (0.400, 0.400, 0.400)
Ir (0.800, 0.000, 0.600)
Ir (0.800, 0.200, 0.600)
Ir (0.200, 0.000, 0.600)
Ir (0.400, 0.800, 0.800)
Ir (0.599, 0.000, 0.401)
Ir (0.400, 0.600, 0.400)
Ir (0.600, 0.200, 0.400)
Ir (0.200, 0.200, 0.800)
Ir (0.000, 0.401, 0.000)
Ir (0.800, 0.400, 0.600)
Ir (0.000, 0.400, 0.800)
Ir (0.600, 0.800, 0.400)
Ir (0.800, 0.400, 0.000)
Ir (0.000, 0.000, 0.599)
Ir (0.600, 0.600, 0.600)
Ir (0.000, 0.599, 0.401)
Ir (0.000, 0.795, 0.000)
Ir (0.000, 0.600, 0.600)
Ir (0.000, 0.200, 0.200)
Ir (0.200, 0.400, 0.600)
Ir (0.205, 0.000, 0.795)
Ir (0.600, 0.800, 0.000)
Ir (0.599, 0.401, 0.000)
Ir (0.401, 0.000, 0.000)
Ir (0.400, 0.000, 0.400)
Ir (0.000, 0.800, 0.600)
Ir (0.800, 0.600, 0.200)
Ir (0.600, 0.400, 0.200)
Ir (0.200, 0.400, 0.000)
Ir (0.000, 0.800, 0.400)
Ir (0.000, 0.000, 0.795)
Ir (0.400, 0.600, 0.200)
Ir (0.600, 0.400, 0.600)
Ir (0.600, 0.000, 0.600)
Ir (0.200, 0.000, 0.200)
Ir (0.400, 0.000, 0.800)
Ir (0.205, 0.795, 0.000)
Ir (0.600, 0.400, 0.800)
Ir (0.795, 0.000, 0.205)
Ir (0.600, 0.200, 0.800)
Ir (0.400, 0.400, 0.000)
Ir (0.000, 0.200, 0.600)
Ir (0.600, 0.600, 0.000)
Ir (0.800, 0.800, 0.200)
Ir (0.795, 0.205, 0.000)
Ir (0.400, 0.800, 0.600)
Ir (0.800, 0.800, 0.600)
Ir (0.000, 0.200, 0.400)
Ir (0.400, 0.800, 0.400)
Ir (0.200, 0.600, 0.200)
Ir (0.200, 0.400, 0.800)
Ir (0.400, 0.000, 0.200)
Ir (0.200, 0.200, 0.600)
Ir (0.600, 0.200, 0.000)
Ir (0.600, 0.800, 0.800)
Ir (0.800, 0.800, 0.400)
Ir (0.600, 0.600, 0.200)
Ir (0.400, 0.600, 0.800)
Ir (0.200, 0.200, 0.400)
Ir (0.200, 0.800, 0.800)
Ir (0.600, 0.000, 0.200)
Ir (0.000, 0.795, 0.205)
Ir (0.600, 0.000, 0.800)
Ir (0.400, 0.200, 0.800)
Ir (0.400, 0.800, 0.000)
Ir (0.400, 0.200, 0.200)
Ir (0.200, 0.600, 0.400)
Ir (0.000, 0.400, 0.200)
Ir (0.200, 0.000, 0.400)
Ir (0.400, 0.200, 0.400)
Ir (0.400, 0.800, 0.200)
Ir (0.000, 0.600, 0.800)
Ir (0.600, 0.200, 0.200)
Ir (0.800, 0.000, 0.400)
Ir (0.200, 0.600, 0.600)
Ir (0.200, 0.400, 0.400)
Ir (0.800, 0.200, 0.200)
Ir (0.200, 0.400, 0.200)
Ir (0.600, 0.200, 0.600)
Ir (0.000, 0.205, 0.795)
Ir (0.401, 0.000, 0.599)
Ir (0.200, 0.800, 0.200)
Ir (0.400, 0.200, 0.600)
Ir (0.800, 0.400, 0.800)
Ir (0.000, 0.599, 0.000)
Ir (0.400, 0.200, 0.000)
Ir (0.400, 0.400, 0.800)
Ir (0.800, 0.800, 0.000)
Ir (0.000, 0.205, 0.000)
Ir (0.200, 0.800, 0.400)
Ir (0.600, 0.600, 0.800)
Ir (0.000, 0.600, 0.200)
Ir (0.000, 0.000, 0.401)
Hg (0.000, 0.000, 0.000)

---

(16)
A relaxed structure of HgIr17, computed with PBE.

## Properties
Energy ... -294.99 eV for the cell shown
SG ... P2_1/m (11)
Relative energy among the computed polymorphs ... 0 meV/atom
Formation energy from the elements ... 3.337 eV per formula unit

Cell: 4.713 5.445 33.365 Å, 90.00 90.01 90.00°
Positions (direct):
Ir (0.334, 0.500, 0.433)
Ir (0.000, 0.000, 0.500)
Ir (0.669, 0.500, 0.366)
Ir (0.502, 0.253, 0.701)
Ir (0.498, 0.247, 0.299)
Ir (0.333, 0.000, 0.432)
Ir (0.834, 0.751, 0.233)
Ir (0.166, 0.251, 0.767)
Ir (0.000, 0.000, 0.702)
Ir (0.833, 0.250, 0.635)
Ir (0.167, 0.250, 0.567)
Ir (0.167, 0.250, 0.365)
Ir (0.833, 0.250, 0.433)
Ir (0.834, 0.249, 0.233)
Ir (0.166, 0.749, 0.767)
Ir (0.666, 0.000, 0.567)
Ir (0.502, 0.747, 0.701)
Ir (0.500, 0.750, 0.500)
Ir (0.000, 0.500, 0.298)
Ir (0.833, 0.750, 0.433)
Ir (0.667, 0.500, 0.568)
Ir (0.498, 0.753, 0.299)
Ir (0.665, 0.000, 0.365)
Ir (0.500, 0.250, 0.500)
Ir (0.167, 0.750, 0.365)
Ir (0.000, 0.500, 0.500)
Ir (0.833, 0.750, 0.635)
Ir (0.334, 0.500, 0.233)
Ir (0.000, 0.500, 0.702)
Ir (0.167, 0.750, 0.567)
Ir (0.666, 0.000, 0.767)
Ir (0.335, 0.500, 0.635)
Ir (0.000, 0.000, 0.298)
Ir (0.331, 0.000, 0.634)
Hg (0.666, 0.500, 0.795)
Hg (0.334, 0.000, 0.205)